Record 1
# Fe2WBr, single point on PBEsol structure, DFT SCAN
# Energy relative to the lowest polymorph listed for this composition   412 meV/atom
# Uncorrected formation energy   1078 meV per atom
data_Fe2WBr
_chemical_formula_sum 'Fe4 W2 Br2'
_space_group_name_H-M_alt 'I -4 m 2'
_space_group_IT_number 119
_space_group_name_Hall 'I -4 -2'
_cell_length_a 3.6850
_cell_length_b 3.6850
_cell_length_c 8.1870
_cell_angle_alpha 90.00
_cell_angle_beta 90.00
_cell_angle_gamma 90.00
loop_
_atom_site_label
_atom_site_type_symbol
_atom_site_fract_x
_atom_site_fract_y
_atom_site_fract_z
Fe1 Fe 0.0000 0.0000 0.0000
Fe2 Fe 0.0000 0.5000 0.2500
W1 W 0.0000 0.0000 0.5000
Br1 Br 0.0000 0.5000 0.7500

Record 2
# TcNi2W, single point on PBEsol structure, DFT SCAN
# Energy relative to the lowest polymorph listed for this composition   351 meV/atom
# ΔH_f (0 K)   1.4 eV/f.u.
data_TcNi2W
_chemical_formula_sum 'Tc4 Ni8 W4'
_space_group_name_H-M_alt 'F m -3 m'
_space_group_IT_number 225
_space_group_name_Hall '-F 4 2 3'
_cell_length_a 5.8678
_cell_length_b 5.8678
_cell_length_c 5.8678
_cell_angle_alpha 90.00
_cell_angle_beta 90.00
_cell_angle_gamma 90.00
loop_
_atom_site_label
_atom_site_type_symbol
_atom_site_fract_x
_atom_site_fract_y
_atom_site_fract_z
Tc1 Tc 0.0000 0.0000 0.0000
Ni1 Ni 0.2500 0.2500 0.2500
W1 W 0.0000 0.0000 0.5000

Record 3
# Rb3ZrTl, single point on PBEsol structure, DFT SCAN
# ΔH_f (0 K)   4.7 eV/f.u.
data_Rb3ZrTl
_chemical_formula_sum 'Rb3 Zr1 Tl1'
_space_group_name_H-M_alt 'P m -3 m'
_space_group_IT_number 221
_space_group_name_Hall '-P 4 2 3'
_cell_length_a 6.6969
_cell_length_b 6.6969
_cell_length_c 6.6969
_cell_angle_alpha 90.00
_cell_angle_beta 90.00
_cell_angle_gamma 90.00
loop_
_atom_site_label
_atom_site_type_symbol
_atom_site_fract_x
_atom_site_fract_y
_atom_site_fract_z
Rb1 Rb 0.0000 0.0000 0.5000
Zr1 Zr 0.5000 0.5000 0.5000
Tl1 Tl 0.0000 0.0000 0.0000

Record 4
# BaIrRh2, single point on PBEsol structure, DFT SCAN
# Energy relative to the lowest polymorph listed for this composition   45 meV/atom
# ΔH_f (0 K)   -0.3 eV/f.u.
data_BaIrRh2
_chemical_formula_sum 'Ba2 Ir2 Rh4'
_space_group_name_H-M_alt 'C 1 m 1'
_space_group_IT_number 8
_cell_length_a 7.6354
_cell_length_b 4.3995
_cell_length_c 6.1027
_cell_angle_alpha 90.00
_cell_angle_beta 114.48
_cell_angle_gamma 90.00
loop_
_space_group_symop_operation_xyz
'x,y,z'
'x,-y,z'
'x+1/2,y+1/2,z'
'x+1/2,-y+1/2,z'
loop_
_atom_site_label
_atom_site_type_symbol
_atom_site_fract_x
_atom_site_fract_y
_atom_site_fract_z
Ba1 Ba 0.0000 0.0000 0.0000
Ir1 Ir 0.3182 0.5000 0.4536
Rh1 Rh 0.0003 0.5000 0.4998
Rh2 Rh 0.1806 0.0000 0.5406

Record 5
# NbOsAuCl2, single point on PBEsol structure, DFT SCAN
# Uncorrected formation energy   701 meV per atom
data_NbOsAuCl2
_chemical_formula_sum 'Nb1 Os1 Au1 Cl2'
_space_group_name_H-M_alt 'P 4/m m m'
_space_group_IT_number 123
_space_group_name_Hall '-P 4 2'
_cell_length_a 4.6153
_cell_length_b 4.6153
_cell_length_c 5.0377
_cell_angle_alpha 90.00
_cell_angle_beta 90.00
_cell_angle_gamma 90.00
loop_
_atom_site_label
_atom_site_type_symbol
_atom_site_fract_x
_atom_site_fract_y
_atom_site_fract_z
Nb1 Nb 0.0000 0.0000 0.0000
Os1 Os 0.0000 0.0000 0.5000
Au1 Au 0.5000 0.5000 0.5000
Cl1 Cl 0.0000 0.5000 0.0000

Record 6
# Li2CeO3, single point on PBEsol structure, DFT SCAN
# Uncorrected formation energy   -2819 meV per atom
data_Li2CeO3
_chemical_formula_sum 'Li8 Ce4 O12'
_space_group_name_H-M_alt 'C 1 2/c 1'
_space_group_IT_number 15
_cell_length_a 5.2038
_cell_length_b 9.9688
_cell_length_c 5.5834
_cell_angle_alpha 90.00
_cell_angle_beta 104.46
_cell_angle_gamma 90.00
loop_
_space_group_symop_operation_xyz
'x,y,z'
'-x,-y,-z'
'-x,y,-z+1/2'
'x,-y,z+1/2'
'x+1/2,y+1/2,z'
'-x+1/2,-y+1/2,-z'
'-x+1/2,y+1/2,-z+1/2'
'x+1/2,-y+1/2,z+1/2'
loop_
_atom_site_label
_atom_site_type_symbol
_atom_site_fract_x
_atom_site_fract_y
_atom_site_fract_z
Li1 Li 0.0000 0.0745 0.2500
Li2 Li 0.0000 0.2872 0.7500
Ce1 Ce 0.0000 0.3987 0.2500
O1 O 0.2297 0.4283 0.9712
O2 O 0.2500 0.2500 0.5000

Record 7
# TaIn2Tc, single point on PBEsol structure, DFT SCAN
# Energy relative to the lowest polymorph listed for this composition   124 meV/atom
# ΔH_f (0 K)   1.3 eV/f.u.
data_TaIn2Tc
_chemical_formula_sum 'Ta2 In4 Tc2'
_space_group_name_H-M_alt 'I 4/m m m'
_space_group_IT_number 139
_space_group_name_Hall '-I 4 2'
_cell_length_a 4.0518
_cell_length_b 4.0518
_cell_length_c 8.7087
_cell_angle_alpha 90.00
_cell_angle_beta 90.00
_cell_angle_gamma 90.00
loop_
_atom_site_label
_atom_site_type_symbol
_atom_site_fract_x
_atom_site_fract_y
_atom_site_fract_z
Ta1 Ta 0.0000 0.0000 0.0000
In1 In 0.0000 0.5000 0.2500
Tc1 Tc 0.0000 0.0000 0.5000

Record 8
# LiZnCdFe2, single point on PBEsol structure, DFT SCAN
# ΔH_f (0 K)   3.9 eV/f.u.
data_LiZnCdFe2
_chemical_formula_sum 'Li1 Zn1 Cd1 Fe2'
_space_group_name_H-M_alt 'P 4/m m m'
_space_group_IT_number 123
_space_group_name_Hall '-P 4 2'
_cell_length_a 4.0872
_cell_length_b 4.0872
_cell_length_c 4.2348
_cell_angle_alpha 90.00
_cell_angle_beta 90.00
_cell_angle_gamma 90.00
loop_
_atom_site_label
_atom_site_type_symbol
_atom_site_fract_x
_atom_site_fract_y
_atom_site_fract_z
Li1 Li 0.0000 0.0000 0.0000
Zn1 Zn 0.0000 0.0000 0.5000
Cd1 Cd 0.5000 0.5000 0.5000
Fe1 Fe 0.0000 0.5000 0.0000

Record 9
# Cu3Pt2, single point on PBEsol structure, DFT SCAN
# Energy relative to the lowest polymorph listed for this composition   17 meV/atom
# ΔH_f (0 K)   -0.7 eV/f.u.
data_Cu3Pt2
_chemical_formula_sum 'Cu6 Pt4'
_space_group_name_H-M_alt 'P 1 m 1'
_space_group_IT_number 6
_cell_length_a 6.4079
_cell_length_b 2.6934
_cell_length_c 7.7227
_cell_angle_alpha 90.00
_cell_angle_beta 104.09
_cell_angle_gamma 90.00
loop_
_space_group_symop_operation_xyz
'x,y,z'
'x,-y,z'
loop_
_atom_site_label
_atom_site_type_symbol
_atom_site_fract_x
_atom_site_fract_y
_atom_site_fract_z
Cu1 Cu 0.0000 0.0000 0.0000
Cu2 Cu 0.0881 0.5000 0.2852
Cu3 Cu 0.5199 0.5000 0.4976
Cu4 Cu 0.7094 0.5000 0.0996
Cu5 Cu 0.8052 0.0000 0.3915
Cu6 Cu 0.9079 0.5000 0.6881
Pt1 Pt 0.1995 0.0000 0.5782
Pt2 Pt 0.2974 0.5000 0.8958
Pt3 Pt 0.4056 0.0000 0.2076
Pt4 Pt 0.6227 0.0000 0.7951

Record 10
# BaGa2Ge2O8, single point on PBEsol structure, DFT SCAN
# Energy relative to the lowest polymorph listed for this composition   16 meV/atom
# Uncorrected formation energy   -2174 meV per atom
data_BaGa2Ge2O8
_chemical_formula_sum 'Ba8 Ga16 Ge16 O64'
_space_group_name_H-M_alt 'C 1 2/c 1'
_space_group_IT_number 15
_cell_length_a 13.8363
_cell_length_b 13.5655
_cell_length_c 8.9232
_cell_angle_alpha 90.00
_cell_angle_beta 101.14
_cell_angle_gamma 90.00
loop_
_space_group_symop_operation_xyz
'x,y,z'
'-x,-y,-z'
'-x,y,-z+1/2'
'x,-y,z+1/2'
'x+1/2,y+1/2,z'
'-x+1/2,-y+1/2,-z'
'-x+1/2,y+1/2,-z+1/2'
'x+1/2,-y+1/2,z+1/2'
loop_
_atom_site_label
_atom_site_type_symbol
_atom_site_fract_x
_atom_site_fract_y
_atom_site_fract_z
Ba1 Ba 0.1841 0.2496 0.2071
Ga1 Ga 0.0761 0.1275 0.5250
Ga2 Ga 0.1340 0.4319 0.8857
Ge1 Ge 0.0769 0.3647 0.5177
Ge2 Ge 0.1417 0.0708 0.8959
O1 O 0.0507 0.3704 0.9945
O2 O 0.0578 0.1232 0.9985
O3 O 0.1045 0.2484 0.4502
O4 O 0.1200 0.4355 0.3790
O5 O 0.1300 0.0566 0.3858
O6 O 0.1472 0.1251 0.7198
O7 O 0.1466 0.3775 0.7025
O8 O 0.2485 0.3781 0.9973

Record 11
# RbSn2Hg2, single point on PBEsol structure, DFT SCAN
# ΔH_f (0 K)   -1.0 eV/f.u.
data_RbSn2Hg2
_chemical_formula_sum 'Rb2 Sn4 Hg4'
_space_group_name_H-M_alt 'I 4/m m m'
_space_group_IT_number 139
_space_group_name_Hall '-I 4 2'
_cell_length_a 4.7540
_cell_length_b 4.7540
_cell_length_c 12.8487
_cell_angle_alpha 90.00
_cell_angle_beta 90.00
_cell_angle_gamma 90.00
loop_
_atom_site_label
_atom_site_type_symbol
_atom_site_fract_x
_atom_site_fract_y
_atom_site_fract_z
Rb1 Rb 0.0000 0.0000 0.0000
Sn1 Sn 0.0000 0.5000 0.2500
Hg1 Hg 0.0000 0.0000 0.3915

Record 12
# BTe2W, single point on PBEsol structure, DFT SCAN
# Uncorrected formation energy   1082 meV per atom
data_BTe2W
_chemical_formula_sum 'B4 Te8 W4'
_space_group_name_H-M_alt 'I -4 2 d'
_space_group_IT_number 122
_space_group_name_Hall 'I -4 2bw'
_cell_length_a 5.8763
_cell_length_b 5.8763
_cell_length_c 10.0996
_cell_angle_alpha 90.00
_cell_angle_beta 90.00
_cell_angle_gamma 90.00
loop_
_atom_site_label
_atom_site_type_symbol
_atom_site_fract_x
_atom_site_fract_y
_atom_site_fract_z
B1 B 0.0000 0.0000 0.0000
Te1 Te 0.1993 0.2500 0.1250
W1 W 0.0000 0.0000 0.5000

Record 13
# KBaAg, single point on PBEsol structure, DFT SCAN
# ΔH_f (0 K)   1.0 eV/f.u.
data_KBaAg
_chemical_formula_sum 'K4 Ba4 Ag4'
_space_group_name_H-M_alt 'F -4 3 m'
_space_group_IT_number 216
_space_group_name_Hall 'F -4 2 3'
_cell_length_a 7.7247
_cell_length_b 7.7247
_cell_length_c 7.7247
_cell_angle_alpha 90.00
_cell_angle_beta 90.00
_cell_angle_gamma 90.00
loop_
_atom_site_label
_atom_site_type_symbol
_atom_site_fract_x
_atom_site_fract_y
_atom_site_fract_z
K1 K 0.0000 0.0000 0.0000
Ba1 Ba 0.2500 0.2500 0.2500
Ag1 Ag 0.2500 0.2500 0.7500

Record 14
# MnTe2Rh, single point on PBEsol structure, DFT SCAN
# Uncorrected formation energy   -129 meV per atom
data_MnTe2Rh
_chemical_formula_sum 'Mn2 Te4 Rh2'
_space_group_name_H-M_alt 'I m m 2'
_space_group_IT_number 44
_cell_length_a 3.4602
_cell_length_b 3.8639
_cell_length_c 11.8830
_cell_angle_alpha 90.00
_cell_angle_beta 90.00
_cell_angle_gamma 90.00
loop_
_space_group_symop_operation_xyz
'x,y,z'
'-x,-y,z'
'-x,y,z'
'x,-y,z'
'x+1/2,y+1/2,z+1/2'
'-x+1/2,-y+1/2,z+1/2'
'-x+1/2,y+1/2,z+1/2'
'x+1/2,-y+1/2,z+1/2'
loop_
_atom_site_label
_atom_site_type_symbol
_atom_site_fract_x
_atom_site_fract_y
_atom_site_fract_z
Mn1 Mn 0.0000 0.0000 0.0000
Te1 Te 0.0000 0.0000 0.5551
Te2 Te 0.0000 0.5000 0.3082
Rh1 Rh 0.0000 0.5000 0.7065

Record 15
# Ca5P3HO13, single point on PBEsol structure, DFT SCAN
# Total DFT energy (no corrections)   -10.5553 eV/atom
data_Ca5P3HO13
_chemical_formula_sum 'Ca20 P12 H4 O52'
_space_group_name_H-M_alt 'P 1 21/c 1'
_space_group_IT_number 14
_cell_length_a 9.3888
_cell_length_b 6.8488
_cell_length_c 18.7759
_cell_angle_alpha 90.00
_cell_angle_beta 119.97
_cell_angle_gamma 90.00
loop_
_space_group_symop_operation_xyz
'x,y,z'
'-x,-y,-z'
'-x,y+1/2,-z+1/2'
'x,-y+1/2,z+1/2'
loop_
_atom_site_label
_atom_site_type_symbol
_atom_site_fract_x
_atom_site_fract_y
_atom_site_fract_z
Ca1 Ca 0.0046 0.2439 0.3762
Ca2 Ca 0.2457 0.2464 0.2472
Ca3 Ca 0.2526 0.7434 0.3735
Ca4 Ca 0.3250 0.0003 0.0797
Ca5 Ca 0.3419 0.0020 0.5877
P1 P 0.0303 0.7482 0.4489
P2 P 0.3684 0.7450 0.2344
P3 P 0.3978 0.2445 0.4338
H1 H 0.0007 0.5551 0.2492
O1 O 0.0007 0.6983 0.2500
O2 O 0.0801 0.5806 0.9122
O3 O 0.0917 0.5570 0.4291
O4 O 0.1239 0.7321 0.0442
O5 O 0.1577 0.2456 0.0863
O6 O 0.2512 0.5767 0.7084
O7 O 0.2608 0.5594 0.2036
O8 O 0.3264 0.0804 0.8740
O9 O 0.3268 0.2395 0.4924
O10 O 0.3565 0.0570 0.3811
O11 O 0.4115 0.7380 0.5172
O12 O 0.4665 0.7428 0.6880
O13 O 0.4850 0.7403 0.3285

Record 16
# ZrScHg, single point on PBEsol structure, DFT SCAN
# Energy relative to the lowest polymorph listed for this composition   0 meV/atom
# ΔH_f (0 K)   -1.1 eV/f.u.
data_ZrScHg
_chemical_formula_sum 'Zr2 Sc2 Hg2'
_space_group_name_H-M_alt 'I 4 m m'
_space_group_IT_number 107
_space_group_name_Hall 'I 4 -2'
_cell_length_a 3.2449
_cell_length_b 3.2449
_cell_length_c 12.1891
_cell_angle_alpha 90.00
_cell_angle_beta 90.00
_cell_angle_gamma 90.00
loop_
_atom_site_label
_atom_site_type_symbol
_atom_site_fract_x
_atom_site_fract_y
_atom_site_fract_z
Zr1 Zr 0.0000 0.0000 0.0000
Sc1 Sc 0.0000 0.0000 0.6720
Hg1 Hg 0.0000 0.0000 0.3318

Record 17
# ZnSb3Ir, single point on PBEsol structure, DFT SCAN
# Uncorrected formation energy   643 meV per atom
data_ZnSb3Ir
_chemical_formula_sum 'Zn1 Sb3 Ir1'
_space_group_name_H-M_alt 'P m -3 m'
_space_group_IT_number 221
_space_group_name_Hall '-P 4 2 3'
_cell_length_a 5.1579
_cell_length_b 5.1579
_cell_length_c 5.1579
_cell_angle_alpha 90.00
_cell_angle_beta 90.00
_cell_angle_gamma 90.00
loop_
_atom_site_label
_atom_site_type_symbol
_atom_site_fract_x
_atom_site_fract_y
_atom_site_fract_z
Zn1 Zn 0.0000 0.0000 0.0000
Sb1 Sb 0.0000 0.5000 0.5000
Ir1 Ir 0.5000 0.5000 0.5000

Record 18
# ZrTiB3, single point on PBEsol structure, DFT SCAN
# ΔH_f (0 K)   7.0 eV/f.u.
data_ZrTiB3
_chemical_formula_sum 'Zr1 Ti1 B3'
_space_group_name_H-M_alt 'P m -3 m'
_space_group_IT_number 221
_space_group_name_Hall '-P 4 2 3'
_cell_length_a 4.1559
_cell_length_b 4.1559
_cell_length_c 4.1559
_cell_angle_alpha 90.00
_cell_angle_beta 90.00
_cell_angle_gamma 90.00
loop_
_atom_site_label
_atom_site_type_symbol
_atom_site_fract_x
_atom_site_fract_y
_atom_site_fract_z
Zr1 Zr 0.0000 0.0000 0.0000
Ti1 Ti 0.5000 0.5000 0.5000
B1 B 0.0000 0.0000 0.5000

Record 19
# CaHBr3, single point on PBEsol structure, DFT SCAN
# Total DFT energy (no corrections)   -14.9992 eV/atom
data_CaHBr3
_chemical_formula_sum 'Ca1 H1 Br3'
_space_group_name_H-M_alt 'P m -3 m'
_space_group_IT_number 221
_space_group_name_Hall '-P 4 2 3'
_cell_length_a 4.7467
_cell_length_b 4.7467
_cell_length_c 4.7467
_cell_angle_alpha 90.00
_cell_angle_beta 90.00
_cell_angle_gamma 90.00
loop_
_atom_site_label
_atom_site_type_symbol
_atom_site_fract_x
_atom_site_fract_y
_atom_site_fract_z
Ca1 Ca 0.0000 0.0000 0.0000
H1 H 0.5000 0.5000 0.5000
Br1 Br 0.0000 0.5000 0.5000

Record 20
# Sc4AgCl, single point on PBEsol structure, DFT SCAN
# Uncorrected formation energy   404 meV per atom
data_Sc4AgCl
_chemical_formula_sum 'Sc16 Ag4 Cl4'
_space_group_name_H-M_alt 'F -4 3 m'
_space_group_IT_number 216
_space_group_name_Hall 'F -4 2 3'
_cell_length_a 8.1779
_cell_length_b 8.1779
_cell_length_c 8.1779
_cell_angle_alpha 90.00
_cell_angle_beta 90.00
_cell_angle_gamma 90.00
loop_
_atom_site_label
_atom_site_type_symbol
_atom_site_fract_x
_atom_site_fract_y
_atom_site_fract_z
Sc1 Sc 0.1235 0.1235 0.1235
Ag1 Ag 0.2500 0.2500 0.7500
Cl1 Cl 0.0000 0.0000 0.5000